Entry 1:
A relaxed structure of YPb2Se. Source: Alexandria, functional PBE.

Cell lengths 9.3967, 9.3967, 9.3967 Å; angles 23.55, 23.55, 23.55 degrees
Last column: nearest neighbours and their distance in Å.
Sites, in units of the cell vectors:
Y 0.0000 0.0000 0.0000  6 Pb 3.38
Pb 0.2400 0.2400 0.2400  3 Se 2.99
Pb 0.7600 0.7600 0.7600  3 Se 2.99
Se 0.5000 0.5000 0.5000  6 Pb 2.99

Output
Space group = R-3m, No. 166
VASP energy = -0.32915 Ry per atom
Uncorrected formation energy = -0.137 eV per atom
D(E_F) = 3.5 states/eV per cell

Entry 2:
A relaxed structure of La2Ge2Pt3. Source: Alexandria, functional PBE.

Cell lengths 5.7903, 5.7903, 7.1093 Å; angles 111.98, 111.98, 41.82 degrees
Last column: nearest neighbours and their distance in Å.
Sites, in units of the cell vectors:
La 0.1324 0.1324 0.2678  4 Ge 3.09-3.23, 6 Pt 3.11-3.31
La 0.8676 0.8676 0.7322  4 Ge 3.09-3.23, 6 Pt 3.11-3.31
Ge 0.1560 0.1560 0.7355  5 Pt 2.62-2.77
Ge 0.8440 0.8440 0.2645  5 Pt 2.62-2.77
Pt 0.3836 0.3836 0.0690  3 Ge 2.62-2.65, 1 Pt 2.81
Pt 0.5000 0.5000 0.5000  4 Ge 2.77, 2 Pt 2.81
Pt 0.6164 0.6164 0.9310  3 Ge 2.62-2.65, 1 Pt 2.81

Output
DFT formation energy = -0.96 eV/atom
Space group = C2/m, No. 12
VASP energy = -0.46161 Ry per atom
D(E_F) = 3.0 states/eV per cell

Entry 3:
A relaxed structure of TbAl4Pd2Rh. Source: Alexandria, functional PBE.

Cell lengths 9.1107, 9.1107, 9.1107 Å; angles 27.04, 27.04, 27.04 degrees
Last column: nearest neighbours and their distance in Å.
Sites, in units of the cell vectors:
Tb 0.0000 0.0000 0.0000  6 Al 3.07
Al 0.1340 0.1340 0.1340  3 Rh 2.61, 4 Pd 2.64-2.68
Al 0.4031 0.4031 0.4031  1 Rh 2.55, 3 Pd 2.57
Al 0.5969 0.5969 0.5969  1 Rh 2.55, 3 Pd 2.57
Al 0.8660 0.8660 0.8660  3 Rh 2.61, 4 Pd 2.64-2.68
Pd 0.2358 0.2358 0.2358  7 Al 2.57-2.68
Pd 0.7642 0.7642 0.7642  7 Al 2.57-2.68
Rh 0.5000 0.5000 0.5000  8 Al 2.55-2.61

Output
DFT formation energy = -0.80 eV/atom
Space group = R-3m, No. 166
VASP energy = -0.40178 Ry per atom
D(E_F) = 5.0 states/eV per cell

Entry 4:
A relaxed structure of La2TbP2Cl2. Source: Alexandria, functional PBE.

Cell lengths 8.1008, 8.1008, 8.1008 Å; angles 141.31, 141.31, 55.87 degrees
Last column: nearest neighbours and their distance in Å.
Sites, in units of the cell vectors:
La 0.1045 0.1045 0.0000  1 Cl 2.81, 1 La 2.99, 4 P 3.07
La 0.8955 0.8955 0.0000  1 Cl 2.81, 1 La 2.99, 4 P 3.07
Tb 0.5000 0.5000 0.0000  4 P 2.68, 2 Cl 2.85
P 0.0000 0.5000 0.5000  2 Tb 2.68
P 0.5000 0.0000 0.5000  2 Tb 2.68
Cl 0.3008 0.3008 0.0000  1 La 2.81, 1 Tb 2.85
Cl 0.6992 0.6992 0.0000  1 La 2.81, 1 Tb 2.85

Output
Space group = I4/mmm, No. 139
VASP energy = -0.41784 Ry per atom
Uncorrected formation energy = -1.542 eV per atom
D(E_F) = 3.5 states/eV per cell

Entry 5:
A relaxed structure of SmTh2Tl9. Source: Alexandria, functional PBE.

Cell lengths 4.8233, 4.8233, 14.4107 Å; angles 90.00, 90.00, 90.00 degrees
Last column: nearest neighbours and their distance in Å.
Sites, in units of the cell vectors:
Sm 0.0000 0.0000 0.0000  12 Tl 3.39-3.41
Th 0.0000 0.0000 0.3331  12 Tl 3.41-3.42
Th 0.0000 0.0000 0.6669  12 Tl 3.41-3.42
Tl 0.0000 0.5000 0.1649  8 Tl 3.39-3.42, 2 Sm 3.39, 2 Th 3.42
Tl 0.0000 0.5000 0.5000  8 Tl 3.41, 4 Th 3.41
Tl 0.0000 0.5000 0.8351  8 Tl 3.39-3.42, 2 Sm 3.39, 2 Th 3.42
Tl 0.5000 0.0000 0.1649  8 Tl 3.39-3.42, 2 Sm 3.39, 2 Th 3.42
Tl 0.5000 0.0000 0.5000  8 Tl 3.41, 4 Th 3.41
Tl 0.5000 0.0000 0.8351  8 Tl 3.39-3.42, 2 Sm 3.39, 2 Th 3.42
Tl 0.5000 0.5000 0.0000  8 Tl 3.39, 4 Sm 3.41
Tl 0.5000 0.5000 0.3332  8 Tl 3.41-3.42, 4 Th 3.41
Tl 0.5000 0.5000 0.6668  8 Tl 3.41-3.42, 4 Th 3.41

Output
DFT formation energy = -0.20 eV/atom
Space group = P4/mmm, No. 123
VASP energy = -0.26487 Ry per atom
D(E_F) = 6.6 states/eV per cell

Entry 6:
A relaxed structure of Rb2InHg2Cl4. Source: Alexandria, functional PBE.

Cell lengths 7.1830, 7.1830, 7.1830 Å; angles 110.76, 110.76, 106.92 degrees
Last column: nearest neighbours and their distance in Å.
Sites, in units of the cell vectors:
Rb 0.2500 0.7500 0.5000  8 Cl 3.59
Rb 0.7500 0.2500 0.5000  8 Cl 3.59
In 0.0000 0.0000 0.0000  4 Cl 2.76, 2 Hg 2.84
Hg 0.3318 0.3318 0.0000  1 In 2.84, 1 Hg 2.88
Hg 0.6682 0.6682 0.0000  1 In 2.84, 1 Hg 2.88
Cl 0.2389 0.2389 0.4778  1 In 2.76
Cl 0.2389 0.7611 0.0000  1 In 2.76
Cl 0.7611 0.2389 0.0000  1 In 2.76
Cl 0.7611 0.7611 0.5222  1 In 2.76

Output
Space group = I4/mmm, No. 139
VASP energy = -0.18833 Ry per atom
Uncorrected formation energy = -1.155 eV per atom
D(E_F) = 1.1 states/eV per cell

Entry 7:
A relaxed structure of BeNb2Ag2. Source: Alexandria, functional PBE.

Cell lengths 7.5049, 7.5049, 7.5049 Å; angles 151.76, 151.76, 40.37 degrees
Last column: nearest neighbours and their distance in Å.
Sites, in units of the cell vectors:
Be 0.0000 0.0000 0.0000  8 Nb 2.82
Nb 0.4201 0.4201 0.0000  1 Nb 2.25
Nb 0.5799 0.5799 0.0000  1 Nb 2.25
Ag 0.2500 0.7500 0.5000  4 Ag 2.59
Ag 0.7500 0.2500 0.5000  4 Ag 2.59

Output
DFT formation energy = 0.78 eV/atom
Space group = I4/mmm, No. 139
Distance to the lowest polymorph of the same formula = 0.072 eV/atom
VASP energy = -0.37717 Ry per atom
D(E_F) = 3.7 states/eV per cell

Entry 8:
A relaxed structure of NbHW. Source: Alexandria, functional PBE.

Cell lengths 5.4828, 5.4828, 4.7512 Å; angles 114.64, 114.64, 35.21 degrees
Last column: nearest neighbours and their distance in Å.
Sites, in units of the cell vectors:
Nb 0.1136 0.1136 0.3590  3 H 1.93
Nb 0.8864 0.8864 0.6410  3 H 1.93
H 0.3097 0.3097 0.4241  1 W 1.84, 3 Nb 1.93
H 0.6903 0.6903 0.5759  1 W 1.84, 3 Nb 1.93
W 0.3727 0.3727 0.1171  1 H 1.84
W 0.6273 0.6273 0.8829  1 H 1.84

Output
Space group = C2/m, No. 12
Distance to the lowest polymorph of the same formula = 0.000 eV/atom
VASP energy = -0.64897 Ry per atom
D(E_F) = 1.2 states/eV per cell

Entry 9:
A relaxed structure of SmHoPS. Source: Alexandria, functional PBE.

Cell lengths 6.9604, 6.9604, 6.9604 Å; angles 33.36, 33.36, 33.36 degrees
Last column: nearest neighbours and their distance in Å.
Sites, in units of the cell vectors:
Sm 0.0000 0.0000 0.0000  3 P 2.83, 3 S 2.90
Ho 0.5058 0.5058 0.5058  3 P 2.77, 3 S 2.83
P 0.2500 0.2500 0.2500  3 Ho 2.77, 3 Sm 2.83
S 0.7559 0.7559 0.7559  3 Ho 2.83, 3 Sm 2.90

Output
Space group = R3m, No. 160
VASP energy = -0.48284 Ry per atom
Uncorrected formation energy = -1.861 eV per atom
D(E_F) = 1.6 states/eV per cell

Entry 10:
A relaxed structure of HfNbAs2. Source: Alexandria, functional PBE.

Cell lengths 6.5578, 6.5578, 6.5578 Å; angles 33.54, 33.54, 33.54 degrees
Last column: nearest neighbours and their distance in Å.
Sites, in units of the cell vectors:
Hf 0.0000 0.0000 0.0000  6 As 2.69
Nb 0.5000 0.5000 0.5000  6 As 2.66
As 0.2489 0.2489 0.2489  3 Nb 2.66, 3 Hf 2.69
As 0.7511 0.7511 0.7511  3 Nb 2.66, 3 Hf 2.69

Output
DFT formation energy = -0.58 eV/atom
Space group = R-3m, No. 166
Distance to the lowest polymorph of the same formula = 0.123 eV/atom
VASP energy = -0.58150 Ry per atom
D(E_F) = 1.9 states/eV per cell

Entry 11:
A relaxed structure of TlWBr2. Source: Alexandria, functional PBE.

Cell lengths 3.5038, 3.5038, 9.9314 Å; angles 90.00, 90.00, 122.79 degrees
Last column: nearest neighbours and their distance in Å.
Sites, in units of the cell vectors:
Tl 0.0000 0.0000 0.0000  2 Br 2.81, 2 W 2.87
W 0.5000 0.5000 0.2345  2 Br 2.54
Br 0.0000 0.0000 0.4267  2 W 2.54
Br 0.5000 0.5000 0.7730  2 Tl 2.81

Output
Space group = Cmm2, No. 35
Distance to the lowest polymorph of the same formula = 0.294 eV/atom
VASP energy = -0.30291 Ry per atom
Uncorrected formation energy = 0.545 eV per atom
D(E_F) = 2.6 states/eV per cell

Entry 12:
A relaxed structure of DyZnB. Source: Alexandria, functional PBE.

Cell lengths 4.6827, 4.6827, 6.6184 Å; angles 101.54, 101.54, 48.67 degrees
Last column: nearest neighbours and their distance in Å.
Sites, in units of the cell vectors:
Dy 0.1032 0.1032 0.3017  5 B 2.63-2.72, 1 Zn 2.93
Dy 0.8968 0.8968 0.6983  5 B 2.63-2.72, 1 Zn 2.93
Zn 0.3561 0.3561 0.0658  1 B 2.27
Zn 0.6439 0.6439 0.9342  1 B 2.27
B 0.4190 0.4190 0.4170  1 B 1.57
B 0.5810 0.5810 0.5830  1 B 1.57

Output
DFT formation energy = -0.23 eV/atom
Space group = C2/m, No. 12
VASP energy = -0.32465 Ry per atom
D(E_F) = 3.5 states/eV per cell

Entry 13:
A relaxed structure of Y2ThCo2. Source: Alexandria, functional PBE.

Cell lengths 6.0390, 6.0390, 6.0390 Å; angles 143.87, 118.92, 73.06 degrees
Last column: nearest neighbours and their distance in Å.
Sites, in units of the cell vectors:
Y 0.1899 0.1899 0.0000  4 Co 2.89
Y 0.8101 0.8101 0.0000  4 Co 2.89
Th 0.5000 0.0000 0.5000  4 Co 2.64
Co 0.1968 0.5000 0.6968  1 Co 2.42, 2 Th 2.64
Co 0.8032 0.5000 0.3032  1 Co 2.42, 2 Th 2.64

Output
DFT formation energy = -0.27 eV/atom
Space group = Immm, No. 71
Distance to the lowest polymorph of the same formula = 0.000 eV/atom
VASP energy = -0.52760 Ry per atom
D(E_F) = 4.2 states/eV per cell

Entry 14:
A relaxed structure of Rb2BaHgCl6. Source: Alexandria, functional PBE.

Cell lengths 7.7041, 8.0510, 13.3441 Å; angles 90.00, 124.18, 90.00 degrees
Last column: nearest neighbours and their distance in Å.
Sites, in units of the cell vectors:
Rb 0.2240 0.0671 0.2476  6 Cl 3.34-3.57
Rb 0.2240 0.4329 0.7476  6 Cl 3.34-3.57
Rb 0.7760 0.5671 0.2524  6 Cl 3.34-3.57
Rb 0.7760 0.9329 0.7524  6 Cl 3.34-3.57
Ba 0.5000 0.0000 0.0000  6 Cl 3.06-3.07
Ba 0.5000 0.5000 0.5000  6 Cl 3.06-3.07
Hg 0.0000 0.0000 0.5000  6 Cl 2.71-2.77
Hg 0.0000 0.5000 0.0000  6 Cl 2.71-2.77
Cl 0.1268 0.2150 0.9425  1 Hg 2.77, 1 Ba 3.06
Cl 0.1268 0.2850 0.4425  1 Hg 2.77, 1 Ba 3.06
Cl 0.2323 0.6884 0.9483  1 Hg 2.71
Cl 0.2323 0.8116 0.4483  1 Hg 2.71
Cl 0.3369 0.0338 0.7322  1 Hg 2.72
Cl 0.3369 0.4662 0.2322  1 Hg 2.72
Cl 0.6631 0.5338 0.7678  1 Hg 2.72
Cl 0.6631 0.9662 0.2678  1 Hg 2.72
Cl 0.7677 0.1884 0.5517  1 Hg 2.71
Cl 0.7677 0.3116 0.0517  1 Hg 2.71
Cl 0.8732 0.7150 0.5575  1 Hg 2.77, 1 Ba 3.06
Cl 0.8732 0.7850 0.0575  1 Hg 2.77, 1 Ba 3.06

Output
Space group = P2_1/c, No. 14
Distance to the lowest polymorph of the same formula = 0.000 eV/atom
VASP energy = -0.23667 Ry per atom
Uncorrected formation energy = -1.696 eV per atom
D(E_F) = 0.0 states/eV per cell

Entry 15:
A relaxed structure of K2ZrPt. Source: Alexandria, functional PBE.

Cell lengths 6.7986, 6.7986, 6.7986 Å; angles 144.91, 144.91, 50.47 degrees
Last column: nearest neighbours and their distance in Å.
Sites, in units of the cell vectors:
K 0.2500 0.7500 0.5000  4 K 2.90
K 0.7500 0.2500 0.5000  4 K 2.90
Zr 0.0000 0.0000 0.0000  4 Pt 2.90
Pt 0.5000 0.5000 0.0000  4 Zr 2.90

Output
DFT formation energy = 0.36 eV/atom
Space group = I4/mmm, No. 139
Distance to the lowest polymorph of the same formula = 0.464 eV/atom
VASP energy = -0.28212 Ry per atom
D(E_F) = 2.5 states/eV per cell

Entry 16:
A relaxed structure of Ce2Nd2Bi2C. Source: Alexandria, functional PBE.

Cell lengths 9.1569, 9.1569, 9.1569 Å; angles 149.24, 149.24, 44.06 degrees
Last column: nearest neighbours and their distance in Å.
Sites, in units of the cell vectors:
Ce 0.0000 0.5000 0.5000  2 C 2.43
Ce 0.5000 0.0000 0.5000  2 C 2.43
Nd 0.1607 0.1607 0.0000  1 C 2.73
Nd 0.8393 0.8393 0.0000  1 C 2.73
Bi 0.3574 0.3574 0.0000  5 Nd 3.34-3.45, 4 Ce 3.43
Bi 0.6426 0.6426 0.0000  5 Nd 3.34-3.45, 4 Ce 3.43
C 0.0000 0.0000 0.0000  4 Ce 2.43

Output
DFT formation energy = -0.61 eV/atom
Space group = I4/mmm, No. 139
VASP energy = -0.44787 Ry per atom
D(E_F) = 10.1 states/eV per cell

Entry 17:
A relaxed structure of PmY2Tm3Bi6. Source: Alexandria, functional PBE.

Cell lengths 10.0019, 10.0019, 8.9480 Å; angles 102.84, 102.84, 25.85 degrees
Last column: nearest neighbours and their distance in Å.
Sites, in units of the cell vectors:
Pm 0.0000 0.0000 0.0000  6 Bi 3.21-3.22
Y 0.3328 0.3328 0.6667  6 Bi 3.17-3.18
Y 0.6672 0.6672 0.3333  6 Bi 3.17-3.18
Tm 0.0000 0.0000 0.5000  6 Bi 3.12-3.15
Tm 0.3342 0.3342 0.1677  6 Bi 3.13-3.15
Tm 0.6658 0.6658 0.8323  6 Bi 3.13-3.15
Bi 0.1657 0.1657 0.5850  3 Tm 3.15, 3 Y 3.17-3.18
Bi 0.1694 0.1694 0.0817  3 Tm 3.13-3.15, 2 Y 3.18, 1 Pm 3.22
Bi 0.4997 0.4997 0.2568  3 Tm 3.12-3.14, 1 Y 3.18, 2 Pm 3.21
Bi 0.5003 0.5003 0.7432  3 Tm 3.12-3.14, 1 Y 3.18, 2 Pm 3.21
Bi 0.8306 0.8306 0.9183  3 Tm 3.13-3.15, 2 Y 3.18, 1 Pm 3.22
Bi 0.8343 0.8343 0.4150  3 Tm 3.15, 3 Y 3.17-3.18

Output
DFT formation energy = -0.85 eV/atom
Space group = C2/m, No. 12
VASP energy = -0.39518 Ry per atom
D(E_F) = 2.0 states/eV per cell

Entry 18:
A relaxed structure of Pr5CdCo. Source: Alexandria, functional PBE.

Cell lengths 6.3461, 6.3461, 11.9286 Å; angles 105.28, 105.28, 71.04 degrees
Last column: nearest neighbours and their distance in Å.
Sites, in units of the cell vectors:
Pr 0.0045 0.9955 0.7500  2 Co 2.98, 1 Cd 3.21
Pr 0.0493 0.4135 0.1332  1 Co 2.75
Pr 0.2002 0.5594 0.4460  1 Co 2.65
Pr 0.4135 0.0493 0.6332  1 Co 2.75
Pr 0.4406 0.7998 0.0540  1 Co 2.65
Pr 0.5594 0.2002 0.9460  1 Co 2.65
Pr 0.5865 0.9507 0.3668  1 Co 2.75
Pr 0.7998 0.4406 0.5540  1 Co 2.65
Pr 0.9507 0.5865 0.8668  1 Co 2.75
Pr 0.9955 0.0045 0.2500  2 Co 2.98, 1 Cd 3.21
Cd 0.4392 0.5608 0.7500  7 Pr 3.21-3.54
Cd 0.5608 0.4392 0.2500  7 Pr 3.21-3.54
Co 0.0000 0.0000 0.0000  4 Pr 2.65-2.75
Co 0.0000 0.0000 0.5000  4 Pr 2.65-2.75

Output
DFT formation energy = -0.02 eV/atom
Space group = C2/c, No. 15
VASP energy = -0.33657 Ry per atom
D(E_F) = 15.4 states/eV per cell

Entry 19:
A relaxed structure of Li2AcZnAg4. Source: Alexandria, functional PBE.

Cell lengths 9.6534, 9.6534, 9.6534 Å; angles 27.24, 27.24, 27.24 degrees
Last column: nearest neighbours and their distance in Å.
Sites, in units of the cell vectors:
Li 0.2296 0.2296 0.2296  7 Ag 2.73-2.77
Li 0.7704 0.7704 0.7704  7 Ag 2.73-2.77
Ac 0.0000 0.0000 0.0000  8 Ag 3.31-3.62
Zn 0.5000 0.5000 0.5000  8 Ag 2.62-2.82
Ag 0.1301 0.1301 0.1301  4 Li 2.73-2.77, 3 Zn 2.82
Ag 0.4060 0.4060 0.4060  1 Zn 2.62, 3 Li 2.76
Ag 0.5940 0.5940 0.5940  1 Zn 2.62, 3 Li 2.76
Ag 0.8699 0.8699 0.8699  4 Li 2.73-2.77, 3 Zn 2.82

Output
DFT formation energy = -0.18 eV/atom
Space group = R-3m, No. 166
VASP energy = -0.20268 Ry per atom
D(E_F) = 4.0 states/eV per cell

Entry 20:
A relaxed structure of Cr2SiW. Source: Alexandria, functional PBE.

Cell lengths 2.8945, 2.8945, 6.1254 Å; angles 90.00, 90.00, 90.00 degrees
Last column: nearest neighbours and their distance in Å.
Sites, in units of the cell vectors:
Cr 0.0000 0.0000 0.0000  4 Cr 2.40, 1 Si 2.64
Cr 0.5000 0.5000 0.2033  4 Cr 2.40, 4 Si 2.47
Si 0.0000 0.0000 0.4305  5 Cr 2.47-2.64, 4 W 2.65
W 0.5000 0.5000 0.7058  4 Si 2.65, 4 Cr 2.73, 4 W 2.89

Output
Space group = P4mm, No. 99
VASP energy = -0.69056 Ry per atom
Uncorrected formation energy = 0.010 eV per atom
D(E_F) = 2.9 states/eV per cell